The following is a GGA-PBE calculation of crystalline HgPtSe2 at its relaxed geometry, from the Alexandria database.

Calculated values
Crystal system: orthorhombic
Total energy: -3.26 eV/atom

abc: 4.244 4.244 8.052
angles: 90.00 90.00 128.83
Fractional positions:
Hg  0.000  0.000  0.000
Pt  0.000  0.000  0.500
Se  0.500  0.500  0.301
Se  0.500  0.500  0.699


The following is a GGA-PBE calculation of crystalline GaSiH2 at its relaxed geometry, from the Alexandria database.

Calculated values
Crystal system: triclinic
Total energy: -3.63 eV/atom

abc: 4.451 4.555 6.922
angles: 71.43 88.76 86.26
Fractional positions:
Ga  0.000  0.000  0.000
Ga  0.000  0.428  0.148
Si  0.592  0.262  0.757
Si  0.593  0.449  0.394
H  0.317  0.054  0.803
H  0.318  0.292  0.343
H  0.465  0.545  0.806
H  0.469  0.779  0.353


The following is a GGA-PBE calculation of crystalline BaCaB3 at its relaxed geometry, from the Alexandria database.

Calculated values
Formation energy: 1.771 eV per atom
Crystal system: cubic
Total energy: -3.02 eV/atom

abc: 4.941 4.941 4.941
angles: 90.00 90.00 90.00
Fractional positions:
Ba  0.000  0.000  0.000
Ca  0.500  0.500  0.500
B  0.000  0.500  0.500
B  0.500  0.000  0.500
B  0.500  0.500  0.000